The following is a PBE calculation of FeCo2NiC after structural relaxation, from Alexandria via LeMat-Bulk.

The energy above the most stable polymorph in this dataset is 0.007 eV/atom. For the total magnetization, the calculation gives 4.64 μB/f.u. For the energy relative to the elements, the calculation gives 15.6 kJ per mole of atoms. Its calculated volume is 52 Å³/f.u. For the density of states at the Fermi level, the calculation gives 1.276 states/eV per atom. The value obtained for the mass density is 7.82 g cm⁻³.

Cell: 3.6957 3.6957 3.7993 Å, 90.00 90.00 90.00°
With the nearest neighbours (Å) after each atom.
Element x y z (fractional)
Ni1 0.5000 0.5000 0.5000  4 Fe 2.61, 8 Co 2.65
C1 0.0000 0.0000 0.0000  4 Co 1.85, 2 Fe 1.90
Co1 0.0000 0.5000 0.0000  2 C 1.85
Co2 0.5000 0.0000 0.0000  2 C 1.85
Fe1 0.0000 0.0000 0.5000  2 C 1.90

---

The following is a PBE calculation of Fe2CoPC after structural relaxation, from Alexandria via LeMat-Bulk.

For the total magnetization, the calculation gives 0.21 μB/f.u. For the energy relative to the elements, the calculation gives 138.9 kJ per mole of atoms. Its calculated volume is 64 Å³/f.u. For the density of states at the Fermi level, the calculation gives 1.692 states/eV per atom. The value obtained for the mass density is 5.51 g cm⁻³.

Cell: 4.3518 3.4022 4.3518 Å, 90.00 90.00 90.00°
With the nearest neighbours (Å) after each atom.
Element x y z (fractional)
P1 0.5000 0.5000 0.5000  8 Fe 2.76, 4 C 3.08
C1 0.0000 0.5000 0.0000  2 Co 1.70
Co1 0.0000 0.0000 0.0000  2 C 1.70
Fe1 0.0000 0.0000 0.5000  2 Co 2.18
Fe2 0.5000 0.0000 0.0000  2 Co 2.18

---

Q: What is the energy relative to the elements in the first record?
A: 15.6 kJ per mole of atoms

---

Q: What is the mass density in the first record?
A: 7.82 g cm⁻³

---

Q: Which of these has the lowest calculated volume?
A: FeCo2NiC